A PBEsol-optimized structure of TaCd2Co, computed with SCAN.

Properties
Calculated volume in Å³ per cell: 65
Excess energy over the best structure of this formula in the dataset in meV per atom: 133
Magnetization in μB/atom: 0.005
Formation enthalpy at 0 K in eV per atom: 0.479

a b c (Å): 2.800 4.572 5.260
angles (deg): 90.00 103.86 90.00
Fractional coordinates of all 4 atoms:
Cd 0.659 0.000 0.765
Cd 0.341 0.000 0.235
Co 0.500 0.500 0.000
Ta 0.000 0.500 0.500

=====

A PBEsol-optimized structure of ZrCu2Te2, computed with SCAN.

Properties
Calculated volume in Å³ per cell: 96
Magnetization in μB/atom: 0.000
Formation energy from raw total energies in eV/f.u.: -1.06

a b c (Å): 3.635 3.635 7.681
angles (deg): 103.69 103.69 90.00
Fractional coordinates of all 5 atoms:
Te 0.388 0.388 0.776
Te 0.612 0.612 0.224
Cu 0.250 0.750 0.500
Cu 0.750 0.250 0.500
Zr 0.000 0.000 0.000

=====

A PBEsol-optimized structure of TbMg4Cu, computed with SCAN.

Properties
Calculated volume in Å³ per cell: 518
Magnetization in μB/atom: 0.000
Formation enthalpy at 0 K in eV per atom: -0.139

a b c (Å): 3.857 12.056 12.056
angles (deg): 112.44 90.00 90.00
Fractional coordinates of all 24 atoms:
Tb 0.000 0.305 0.305
Tb 0.000 0.695 0.695
Tb 0.000 0.370 0.630
Tb 0.000 0.630 0.370
Mg 0.500 0.374 0.861
Mg 0.500 0.139 0.626
Mg 0.000 0.164 0.836
Mg 0.000 0.836 0.164
Mg 0.500 0.946 0.788
Mg 0.500 0.861 0.374
Mg 0.000 0.924 0.586
Mg 0.500 0.212 0.054
Mg 0.500 0.626 0.139
Mg 0.500 0.500 0.500
Mg 0.500 0.788 0.946
Mg 0.500 0.054 0.212
Mg 0.000 0.586 0.924
Mg 0.000 0.414 0.076
Mg 0.000 0.076 0.414
Mg 0.000 0.000 0.000
Cu 0.500 0.447 0.238
Cu 0.500 0.238 0.447
Cu 0.500 0.553 0.762
Cu 0.500 0.762 0.553

=====

A PBEsol-optimized structure of Li3ZnAg, computed with SCAN.

Properties
Calculated volume in Å³ per cell: 98
Excess energy over the best structure of this formula in the dataset in meV per atom: 33
Magnetization in μB/atom: 0.000
Formation enthalpy at 0 K in eV per atom: 0.273

a b c (Å): 4.612 4.612 4.612
angles (deg): 90.00 90.00 90.00
Fractional coordinates of all 5 atoms:
Zn 0.000 0.000 0.000
Ag 0.500 0.500 0.500
Li 0.000 0.500 0.000
Li 0.000 0.000 0.500
Li 0.500 0.000 0.000

=====

A PBEsol-optimized structure of K5Pb, computed with SCAN.

Properties
Calculated volume in Å³ per cell: 326
Excess energy over the best structure of this formula in the dataset in meV per atom: 0
Magnetization in μB/atom: 0.011
Formation enthalpy at 0 K in eV per atom: -0.087

a b c (Å): 4.434 7.602 10.941
angles (deg): 111.38 90.00 106.96
Fractional coordinates of all 6 atoms:
Pb 0.694 0.389 0.889
K 0.057 0.113 0.016
K 0.695 0.389 0.389
K 0.332 0.664 0.761
K 0.351 0.702 0.160
K 0.038 0.076 0.618

=====

A PBEsol-optimized structure of KZnCo2, computed with SCAN.

Properties
Calculated volume in Å³ per cell: 68
Magnetization in μB/atom: 0.871
Formation enthalpy at 0 K in eV per atom: 0.452

a b c (Å): 2.794 3.105 7.791
angles (deg): 90.00 90.00 90.00
Fractional coordinates of all 4 atoms:
Co 0.000 0.000 0.024
Co 0.500 0.500 0.158
K 0.000 0.000 0.483
Zn 0.500 0.500 0.835

=====

Q: Number 2 is which compound?
A: ZrCu2Te2